# HgTe2Ir

A relaxed HgTe2Ir crystal (PBE, Alexandria).

Properties
- symmetry = R3m (160)

a = 3.917 Å, b = 3.917 Å, c = 23.588 Å
α = 90.00°, β = 90.00°, γ = 120.00°
Atoms (fractional coordinates):
Hg: 0.000 0.000 0.000
Hg: 0.333 0.667 0.667
Hg: 0.667 0.333 0.333
Te: 0.000 0.000 0.255
Te: 0.000 0.000 0.460
Te: 0.333 0.667 0.127
Te: 0.333 0.667 0.921
Te: 0.667 0.333 0.588
Te: 0.667 0.333 0.794
Ir: 0.000 0.000 0.741
Ir: 0.333 0.667 0.408
Ir: 0.667 0.333 0.075

=====

# HgTe2Ir

A relaxed HgTe2Ir crystal (PBE, Alexandria).

Properties
- symmetry = P4/mmm (123)

a = 4.440 Å, b = 4.440 Å, c = 4.559 Å
α = 90.00°, β = 90.00°, γ = 90.00°
Atoms (fractional coordinates):
Hg: 0.000 0.000 0.000
Te: 0.000 0.500 0.500
Te: 0.500 0.000 0.500
Ir: 0.500 0.500 0.000

=====

# Hg2TeIr

A relaxed Hg2TeIr crystal (PBE, Alexandria).

Properties
- symmetry = Cmmm (65)

a = 5.596 Å, b = 7.666 Å, c = 4.422 Å
α = 90.00°, β = 90.00°, γ = 90.00°
Atoms (fractional coordinates):
Hg: 0.000 0.212 0.000
Hg: 0.000 0.788 0.000
Hg: 0.500 0.288 0.000
Hg: 0.500 0.712 0.000
Te: 0.000 0.500 0.500
Te: 0.500 0.000 0.500
Ir: 0.000 0.000 0.500
Ir: 0.500 0.500 0.500

=====

# HgTe2Ir

A relaxed HgTe2Ir crystal (PBE, Alexandria).

Properties
- symmetry = P4/mmm (123)

a = 3.285 Å, b = 3.285 Å, c = 9.487 Å
α = 90.00°, β = 90.00°, γ = 90.00°
Atoms (fractional coordinates):
Hg: 0.000 0.000 0.000
Te: 0.500 0.500 0.323
Te: 0.500 0.500 0.677
Ir: 0.000 0.000 0.500

=====

# HgTe2Ir

A relaxed HgTe2Ir crystal (PBE, Alexandria).

Properties
- symmetry = Imm2 (44)

a = 3.216 Å, b = 4.739 Å, c = 13.085 Å
α = 90.00°, β = 90.00°, γ = 90.00°
Atoms (fractional coordinates):
Hg: 0.000 0.000 0.000
Hg: 0.500 0.500 0.500
Te: 0.000 0.000 0.364
Te: 0.000 0.500 0.167
Te: 0.500 0.000 0.667
Te: 0.500 0.500 0.864
Ir: 0.000 0.500 0.703
Ir: 0.500 0.000 0.203

=====

# Hg2TeIr

A relaxed Hg2TeIr crystal (PBE, Alexandria).

Properties
- symmetry = Immm (71)

a = 3.092 Å, b = 4.561 Å, c = 13.299 Å
α = 90.00°, β = 90.00°, γ = 90.00°
Atoms (fractional coordinates):
Hg: 0.000 0.000 0.191
Hg: 0.000 0.000 0.809
Hg: 0.500 0.500 0.309
Hg: 0.500 0.500 0.691
Te: 0.000 0.500 0.000
Te: 0.500 0.000 0.500
Ir: 0.000 0.500 0.500
Ir: 0.500 0.000 0.000

=====

Number 1: formation energy from raw total energies 125 meV/atom, final energy -44.8 eV for the cell shown. Number 2: formation energy from raw total energies 695 meV/atom, final energy -12.7 eV for the cell shown. Number 3: formation energy from raw total energies 432 meV/atom, final energy -21.8 eV for the cell shown. Number 4: formation energy from raw total energies 219 meV/atom, final energy -14.6 eV for the cell shown. Number 5: formation energy from raw total energies 252 meV/atom, final energy -28.9 eV for the cell shown. Number 6: formation energy from raw total energies 357 meV/atom, final energy -22.4 eV for the cell shown.